No. 1
The following is a SCAN calculation of a PBEsol-optimized structure of InHgPO2, from the Alexandria database.

Cell: 4.0931 4.0931 5.1080 Å, 90.00 90.00 90.00°
Element x y z (fractional)
P1 0.0000 0.0000 0.5000
Hg1 0.0000 0.0000 0.0000
O1 0.0000 0.5000 0.0000
O2 0.5000 0.0000 0.0000
In1 0.5000 0.5000 0.5000

Summary:
E above lowest polymorph = 429 meV/atom
V = 17.116 Å³ per atom
formation energy (no corrections) = 40.06 kJ/mol of atoms
calculated total energy = -24.468 eV/atom

---

No. 2
The following is a SCAN calculation of a PBEsol-optimized structure of SrNbSn3, from the Alexandria database.

Cell: 5.3288 5.3288 5.3288 Å, 90.00 90.00 90.00°
Element x y z (fractional)
Sr1 0.5000 0.5000 0.5000
Nb1 0.0000 0.0000 0.0000
Sn1 0.0000 0.5000 0.0000
Sn2 0.0000 0.0000 0.5000
Sn3 0.5000 0.0000 0.0000

Summary:
V = 30.264 Å³ per atom
calculated total energy = -32.838 eV/atom

---

No. 3
The following is a SCAN calculation of a PBEsol-optimized structure of CsBeAs, from the Alexandria database.

Cell: 3.8568 6.5731 7.1977 Å, 106.19 105.54 90.00°
Element x y z (fractional)
Cs1 0.0912 0.3110 0.1823
Cs2 0.9088 0.6890 0.8177
Be1 0.7843 0.0756 0.5686
Be2 0.2157 0.9244 0.4314
As1 0.6406 0.8075 0.2812
As2 0.3594 0.1925 0.7188

Summary:
V = 28.047 Å³ per atom
calculated total energy = -21.334 eV/atom

---

No. 4
The following is a SCAN calculation of a PBEsol-optimized structure of Zr2IrAu, from the Alexandria database.

Cell: 3.4766 3.4766 6.0966 Å, 90.00 90.00 90.00°
Element x y z (fractional)
Au1 0.0000 0.0000 0.4951
Ir1 0.5000 0.5000 0.7670
Zr1 0.0000 0.0000 0.9638
Zr2 0.5000 0.5000 0.2741

Summary:
V = 18.422 Å³ per atom
calculated total energy = -51.029 eV/atom

---

No. 5
The following is a SCAN calculation of a PBEsol-optimized structure of Ti3SnS, from the Alexandria database.

Cell: 4.4647 4.4647 4.4647 Å, 90.00 90.00 90.00°
Each line ends with the local moment (μB).
Element x y z (fractional)
S1 0.0000 0.0000 0.0000  -0.01
Sn1 0.5000 0.5000 0.5000  0.00
Ti1 0.0000 0.5000 0.0000  0.17
Ti2 0.0000 0.0000 0.5000  0.17
Ti3 0.5000 0.0000 0.0000  0.17

Summary:
V = 17.799 Å³ per atom
formation energy (no corrections) = -55.42 kJ/mol of atoms
calculated total energy = -19.302 eV/atom

---

No. 6
The following is a SCAN calculation of a PBEsol-optimized structure of Re2OsSe, from the Alexandria database.

Cell: 2.9046 4.3739 5.0029 Å, 92.19 106.88 90.00°
Element x y z (fractional)
Os1 0.0000 0.5000 0.0000
Re1 0.2821 0.2727 0.5642
Re2 0.7179 0.7273 0.4358
Se1 0.5000 0.0000 0.0000

Summary:
V = 15.194 Å³ per atom
formation energy (no corrections) = 49.55 kJ/mol of atoms
calculated total energy = -58.025 eV/atom

---

No. 7
The following is a SCAN calculation of a PBEsol-optimized structure of MnCoOs2, from the Alexandria database.

Cell: 2.6350 2.6350 8.4494 Å, 81.03 81.03 60.00°
Each line ends with the local moment (μB).
Element x y z (fractional)
Co1 0.5031 0.5031 0.4908  1.82
Mn1 0.2472 0.2472 0.2583  3.10
Os1 0.9964 0.9964 0.0108  -0.28
Os2 0.7533 0.7533 0.7401  0.08

Summary:
E above lowest polymorph = 52 meV/atom
V = 12.494 Å³ per atom
calculated total energy = -44.678 eV/atom

---

No. 8
The following is a SCAN calculation of a PBEsol-optimized structure of TlAsIO2, from the Alexandria database.

Cell: 4.1448 4.1448 6.6000 Å, 90.00 90.00 90.00°
Each line ends with the local moment (μB).
Element x y z (fractional)
I1 0.0000 0.0000 0.5000  -0.01
Tl1 0.0000 0.0000 0.0000  -0.01
As1 0.5000 0.5000 0.5000  0.52
O1 0.0000 0.5000 0.0000  0.28
O2 0.5000 0.0000 0.0000  0.28

Summary:
V = 22.676 Å³ per atom
formation energy (no corrections) = 41.34 kJ/mol of atoms
calculated total energy = -27.922 eV/atom

---

No. 9
The following is a SCAN calculation of a PBEsol-optimized structure of CaLa2P, from the Alexandria database.

Cell: 4.0135 4.0138 10.3456 Å, 101.18 90.00 120.00°
Each line ends with the local moment (μB).
Element x y z (fractional)
P1 0.5000 0.0000 0.0000  -0.01
Ca1 0.0000 0.0000 0.5000  0.04
La1 0.7781 0.5563 0.8343  0.12
La2 0.2219 0.4437 0.1657  0.12

Summary:
V = 35.169 Å³ per atom
calculated total energy = -27.393 eV/atom

---

No. 10
The following is a SCAN calculation of a PBEsol-optimized structure of Ta2InCo, from the Alexandria database.

Cell: 2.9784 3.9943 5.8230 Å, 90.00 104.82 90.00°
Each line ends with the local moment (μB).
Element x y z (fractional)
In1 0.5671 0.5000 0.1342  0.00
Co1 0.7137 0.0000 0.4274  1.18
Ta1 0.9320 0.0000 0.8640  0.01
Ta2 0.2992 0.5000 0.5984  0.00

Summary:
V = 16.743 Å³ per atom
calculated total energy = -45.793 eV/atom

---

No. 11
The following is a SCAN calculation of a PBEsol-optimized structure of TlReNi, from the Alexandria database.

Cell: 2.8316 2.8316 6.1210 Å, 103.37 103.37 90.00°
Element x y z (fractional)
Ni1 0.0136 0.0136 0.0271
Re1 0.6462 0.6462 0.2924
Tl1 0.3402 0.3402 0.6805

Summary:
V = 15.460 Å³ per atom
calculated total energy = -52.547 eV/atom

---

No. 12
The following is a SCAN calculation of a PBEsol-optimized structure of NbAsSeN2, from the Alexandria database.

Cell: 3.8077 3.8077 4.8596 Å, 90.00 90.00 90.00°
Each line ends with the local moment (μB).
Element x y z (fractional)
Nb1 0.5000 0.5000 0.5000  1.84
As1 0.0000 0.0000 0.0000  0.07
Se1 0.0000 0.0000 0.5000  -0.05
N1 0.0000 0.5000 0.0000  -0.38
N2 0.5000 0.0000 0.0000  -0.38

Summary:
V = 14.092 Å³ per atom
formation energy (no corrections) = 114.59 kJ/mol of atoms
calculated total energy = -17.209 eV/atom

---

No. 13
The following is a SCAN calculation of a PBEsol-optimized structure of SrInSb2, from the Alexandria database.

Cell: 3.7203 5.6049 5.6049 Å, 103.34 90.00 90.00°
Element x y z (fractional)
In1 0.5000 0.5000 0.5000
Sb1 0.0000 0.5000 0.0000
Sb2 0.0000 0.0000 0.5000
Sr1 0.5000 0.0000 0.0000

Summary:
V = 28.430 Å³ per atom
formation energy (no corrections) = -40.02 kJ/mol of atoms
calculated total energy = -32.961 eV/atom

---

No. 14
The following is a SCAN calculation of a PBEsol-optimized structure of Li2BePt, from the Alexandria database.

Cell: 2.7966 3.8805 4.2975 Å, 90.00 90.00 90.00°
Element x y z (fractional)
Be1 0.0000 0.5000 0.5000
Pt1 0.5000 0.0000 0.5000
Li1 0.0000 0.0000 0.0000
Li2 0.5000 0.5000 0.0000

Summary:
V = 11.659 Å³ per atom
calculated total energy = -20.379 eV/atom

---

No. 15
The following is a SCAN calculation of a PBEsol-optimized structure of MgTeAs2, from the Alexandria database.

Cell: 3.4802 3.9789 7.2765 Å, 105.87 103.84 90.00°
Element x y z (fractional)
As1 0.0431 0.0431 0.0862
As2 0.6720 0.1720 0.3439
Te1 0.3127 0.8127 0.6253
Mg1 0.4723 0.4723 0.9446

Summary:
E above lowest polymorph = 131 meV/atom
V = 23.470 Å³ per atom
formation energy (no corrections) = -10.29 kJ/mol of atoms
calculated total energy = -20.758 eV/atom

---

No. 16
The following is a SCAN calculation of a PBEsol-optimized structure of BaMg3Rh, from the Alexandria database.

Cell: 5.0894 5.0894 5.0894 Å, 90.00 90.00 90.00°
Element x y z (fractional)
Mg1 0.0000 0.5000 0.0000
Mg2 0.0000 0.0000 0.5000
Mg3 0.5000 0.0000 0.0000
Rh1 0.0000 0.0000 0.0000
Ba1 0.5000 0.5000 0.5000

Summary:
V = 26.365 Å³ per atom
calculated total energy = -17.975 eV/atom

---

No. 17
The following is a SCAN calculation of a PBEsol-optimized structure of TaSiW, from the Alexandria database.

Cell: 2.8385 2.8385 6.7203 Å, 90.00 90.00 120.00°
Element x y z (fractional)
Si1 0.0000 0.0000 0.0043
Ta1 0.6667 0.3333 0.6791
W1 0.3333 0.6667 0.3166

Summary:
V = 15.630 Å³ per atom
formation energy (no corrections) = 23.14 kJ/mol of atoms
calculated total energy = -48.523 eV/atom

---

No. 18
The following is a SCAN calculation of a PBEsol-optimized structure of SbTe2RhBr, from the Alexandria database.

Cell: 5.4000 5.3037 5.3037 Å, 90.00 90.00 90.00°
Each line ends with the local moment (μB).
Element x y z (fractional)
Sb1 0.5000 0.0000 0.0000  0.10
Te1 0.0000 0.0000 0.5000  0.13
Te2 0.0000 0.5000 0.0000  0.13
Rh1 0.5000 0.5000 0.5000  1.54
Br1 0.0000 0.0000 0.0000  0.01

Summary:
V = 30.380 Å³ per atom
formation energy (no corrections) = 146.13 kJ/mol of atoms
calculated total energy = -31.484 eV/atom

---

No. 19
The following is a SCAN calculation of a PBEsol-optimized structure of TcRu2Pb, from the Alexandria database.

Cell: 2.8717 2.8717 9.0788 Å, 80.90 80.90 60.00°
Element x y z (fractional)
Pb1 0.2511 0.2511 0.2468
Ru1 0.0063 0.0063 0.9811
Ru2 0.7502 0.7502 0.7493
Tc1 0.4924 0.4924 0.5228

Summary:
V = 15.937 Å³ per atom
calculated total energy = -44.454 eV/atom

---

No. 20
The following is a SCAN calculation of a PBEsol-optimized structure of La2I3N, from the Alexandria database.

Cell: 4.1466 9.6166 10.9131 Å, 72.66 79.05 77.55°
Element x y z (fractional)
I1 0.9543 0.8558 0.2356
I2 0.0457 0.1442 0.7644
I3 0.3386 0.3133 0.0094
I4 0.6614 0.6867 0.9906
I5 0.2300 0.1645 0.3756
I6 0.7700 0.8355 0.6244
La1 0.1316 0.5137 0.2231
La2 0.8684 0.4863 0.7769
La3 0.4224 0.6967 0.4586
La4 0.5776 0.3033 0.5414
N1 0.5702 0.5058 0.3538
N2 0.4298 0.4942 0.6462

Summary:
V = 33.494 Å³ per atom
formation energy (no corrections) = -170.31 kJ/mol of atoms
calculated total energy = -36.053 eV/atom